[1]
# KZrI2O8 | Alexandria via LeMat-Bulk | PBE | optimized geometry
data_KZrI2O8
_cell_length_a 11.7457
_cell_length_b 5.7987
_cell_length_c 6.2916
_cell_angle_alpha 90.00
_cell_angle_beta 110.85
_cell_angle_gamma 90.00
_space_group_name_H-M_alt 'C 1 2/m 1'
_space_group_IT_number 12
_space_group_name_Hall '-C 2y'
loop_
_atom_site_label
_atom_site_type_symbol
_atom_site_fract_x
_atom_site_fract_y
_atom_site_fract_z
_atom_site_occupancy
K1 K 0.0000 0.0000 0.0000 1
Zr1 Zr 0.0000 0.5000 0.5000 1
I1 I 0.2222 0.0000 0.6935 1
O1 O 0.0951 0.5000 0.2836 1
O2 O 0.1171 0.2410 0.7204 1
O3 O 0.1777 0.0000 0.3898 1
# Magnetization   0.9 μB/f.u.
# Raw total energy   -5.479 eV per atom
# Formation energy from raw total energies   -1.112 eV per atom
# Crystal system   monoclinic
# Density of states at the Fermi level   3.5 states/eV/cell

=====

[2]
# KZrI2O | Alexandria via LeMat-Bulk | PBE | optimized geometry
data_KZrI2O
_cell_length_a 6.1219
_cell_length_b 6.1219
_cell_length_c 4.0928
_cell_angle_alpha 90.00
_cell_angle_beta 90.00
_cell_angle_gamma 90.00
_space_group_name_H-M_alt 'P 4/m m m'
_space_group_IT_number 123
_space_group_name_Hall '-P 4 2'
loop_
_atom_site_label
_atom_site_type_symbol
_atom_site_fract_x
_atom_site_fract_y
_atom_site_fract_z
_atom_site_occupancy
K1 K 0.0000 0.0000 0.0000 1
Zr1 Zr 0.5000 0.5000 0.5000 1
I1 I 0.0000 0.5000 0.5000 1
O1 O 0.5000 0.5000 0.0000 1
# Magnetization   0.9 μB/f.u.
# Raw total energy   -5.061 eV per atom
# Formation energy from raw total energies   -1.521 eV per atom
# Crystal system   tetragonal
# Density of states at the Fermi level   1.0 states/eV/cell
# Offset from the most stable computed form   0.000 eV per atom

=====

[3]
# KZrIO2 | Alexandria via LeMat-Bulk | PBE | optimized geometry
data_KZrIO2
_cell_length_a 4.5634
_cell_length_b 4.5634
_cell_length_c 5.8159
_cell_angle_alpha 90.00
_cell_angle_beta 90.00
_cell_angle_gamma 90.00
_space_group_name_H-M_alt 'P 4/m m m'
_space_group_IT_number 123
_space_group_name_Hall '-P 4 2'
loop_
_atom_site_label
_atom_site_type_symbol
_atom_site_fract_x
_atom_site_fract_y
_atom_site_fract_z
_atom_site_occupancy
K1 K 0.0000 0.0000 0.0000 1
Zr1 Zr 0.5000 0.5000 0.5000 1
I1 I 0.0000 0.0000 0.5000 1
O1 O 0.0000 0.5000 0.0000 1
# Magnetization   0.0 μB/f.u.
# Raw total energy   -3.706 eV per atom
# Formation energy from raw total energies   0.516 eV per atom
# Crystal system   tetragonal
# Density of states at the Fermi level   4.3 states/eV/cell
# Offset from the most stable computed form   2.431 eV per atom

=====

[4]
# KZrI2O | Alexandria via LeMat-Bulk | PBE | optimized geometry
data_KZrI2O
_cell_length_a 6.0712
_cell_length_b 6.0712
_cell_length_c 4.2411
_cell_angle_alpha 90.00
_cell_angle_beta 90.00
_cell_angle_gamma 90.00
_space_group_name_H-M_alt 'P 4/m m m'
_space_group_IT_number 123
_space_group_name_Hall '-P 4 2'
loop_
_atom_site_label
_atom_site_type_symbol
_atom_site_fract_x
_atom_site_fract_y
_atom_site_fract_z
_atom_site_occupancy
K1 K 0.0000 0.0000 0.0000 1
Zr1 Zr 0.5000 0.5000 0.5000 1
I1 I 0.0000 0.5000 0.0000 1
O1 O 0.0000 0.0000 0.5000 1
# Magnetization   1.7 μB/f.u.
# Raw total energy   -3.153 eV per atom
# Formation energy from raw total energies   0.388 eV per atom
# Crystal system   tetragonal
# Density of states at the Fermi level   7.4 states/eV/cell
# Offset from the most stable computed form   1.908 eV per atom

=====

[5]
# KZrIO2 | Alexandria via LeMat-Bulk | PBE | optimized geometry
data_KZrIO2
_cell_length_a 4.2809
_cell_length_b 4.2809
_cell_length_c 6.0352
_cell_angle_alpha 90.00
_cell_angle_beta 90.00
_cell_angle_gamma 90.00
_space_group_name_H-M_alt 'P 4/m m m'
_space_group_IT_number 123
_space_group_name_Hall '-P 4 2'
loop_
_atom_site_label
_atom_site_type_symbol
_atom_site_fract_x
_atom_site_fract_y
_atom_site_fract_z
_atom_site_occupancy
K1 K 0.0000 0.0000 0.0000 1
Zr1 Zr 0.5000 0.5000 0.5000 1
I1 I 0.5000 0.5000 0.0000 1
O1 O 0.0000 0.5000 0.5000 1
# Magnetization   0.0 μB/f.u.
# Raw total energy   -6.138 eV per atom
# Formation energy from raw total energies   -1.915 eV per atom
# Crystal system   tetragonal
# Offset from the most stable computed form   0.000 eV per atom

=====

[6]
# KOs3I | Alexandria via LeMat-Bulk | PBE | optimized geometry
data_KOs3I
_cell_length_a 4.9319
_cell_length_b 4.9319
_cell_length_c 4.9319
_cell_angle_alpha 90.00
_cell_angle_beta 90.00
_cell_angle_gamma 90.00
_space_group_name_H-M_alt 'P m -3 m'
_space_group_IT_number 221
_space_group_name_Hall '-P 4 2 3'
loop_
_atom_site_label
_atom_site_type_symbol
_atom_site_fract_x
_atom_site_fract_y
_atom_site_fract_z
_atom_site_occupancy
K1 K 0.0000 0.0000 0.0000 1
Os1 Os 0.0000 0.5000 0.5000 1
I1 I 0.5000 0.5000 0.5000 1
# Magnetization   1.9 μB/f.u.
# Raw total energy   -4.697 eV per atom
# Formation energy from raw total energies   2.571 eV per atom
# Crystal system   cubic
# Density of states at the Fermi level   9.4 states/eV/cell
# Offset from the most stable computed form   0.000 eV per atom

=====

[7]
# KOs3I | Alexandria via LeMat-Bulk | PBE | optimized geometry
data_KOs3I
_cell_length_a 4.7315
_cell_length_b 4.7315
_cell_length_c 4.7315
_cell_angle_alpha 90.00
_cell_angle_beta 90.00
_cell_angle_gamma 90.00
_space_group_name_H-M_alt 'P m -3 m'
_space_group_IT_number 221
_space_group_name_Hall '-P 4 2 3'
loop_
_atom_site_label
_atom_site_type_symbol
_atom_site_fract_x
_atom_site_fract_y
_atom_site_fract_z
_atom_site_occupancy
K1 K 0.0000 0.0000 0.0000 1
Os1 Os 0.0000 0.0000 0.5000 1
I1 I 0.5000 0.5000 0.5000 1
# Magnetization   0.0 μB/f.u.
# Raw total energy   -3.232 eV per atom
# Formation energy from raw total energies   4.035 eV per atom
# Crystal system   cubic
# Density of states at the Fermi level   7.8 states/eV/cell
# Offset from the most stable computed form   1.464 eV per atom

=====

[8]
# KOsI3 | Alexandria via LeMat-Bulk | PBE | optimized geometry
data_KOsI3
_cell_length_a 5.5842
_cell_length_b 5.5842
_cell_length_c 5.5842
_cell_angle_alpha 90.00
_cell_angle_beta 90.00
_cell_angle_gamma 90.00
_space_group_name_H-M_alt 'P m -3 m'
_space_group_IT_number 221
_space_group_name_Hall '-P 4 2 3'
loop_
_atom_site_label
_atom_site_type_symbol
_atom_site_fract_x
_atom_site_fract_y
_atom_site_fract_z
_atom_site_occupancy
K1 K 0.0000 0.0000 0.0000 1
Os1 Os 0.5000 0.5000 0.5000 1
I1 I 0.0000 0.5000 0.5000 1
# Magnetization   1.7 μB/f.u.
# Raw total energy   -3.382 eV per atom
# Formation energy from raw total energies   0.013 eV per atom
# Crystal system   cubic
# Density of states at the Fermi level   5.7 states/eV/cell

=====

[9]
# K3OsI | Alexandria via LeMat-Bulk | PBE | optimized geometry
data_K3OsI
_cell_length_a 6.1544
_cell_length_b 6.1544
_cell_length_c 6.1544
_cell_angle_alpha 90.00
_cell_angle_beta 90.00
_cell_angle_gamma 90.00
_space_group_name_H-M_alt 'P m -3 m'
_space_group_IT_number 221
_space_group_name_Hall '-P 4 2 3'
loop_
_atom_site_label
_atom_site_type_symbol
_atom_site_fract_x
_atom_site_fract_y
_atom_site_fract_z
_atom_site_occupancy
K1 K 0.0000 0.0000 0.5000 1
Os1 Os 0.0000 0.0000 0.0000 1
I1 I 0.5000 0.5000 0.5000 1
# Magnetization   2.0 μB/f.u.
# Raw total energy   -2.649 eV per atom
# Formation energy from raw total energies   0.565 eV per atom
# Crystal system   cubic
# Density of states at the Fermi level   0.0 states/eV/cell
# Offset from the most stable computed form   0.000 eV per atom

=====

[10]
# KPr6OsI10 | Alexandria via LeMat-Bulk | PBE | optimized geometry
data_KPr6OsI10
_cell_length_a 15.9006
_cell_length_b 13.8845
_cell_length_c 14.3298
_cell_angle_alpha 90.00
_cell_angle_beta 90.00
_cell_angle_gamma 90.00
_space_group_name_H-M_alt 'P n m a'
_space_group_IT_number 62
_space_group_name_Hall '-P 2ac 2n'
loop_
_atom_site_label
_atom_site_type_symbol
_atom_site_fract_x
_atom_site_fract_y
_atom_site_fract_z
_atom_site_occupancy
K1 K 0.0392 0.2500 0.0431 1
Pr1 Pr 0.0146 0.7500 0.6084 1
Pr2 Pr 0.0577 0.1062 0.6222 1
Pr3 Pr 0.2020 0.1076 0.3846 1
Pr4 Pr 0.2267 0.7500 0.1115 1
Os1 Os 0.1279 0.2500 0.5029 1
I1 I 0.0320 0.7500 0.2296 1
I2 I 0.0376 0.0793 0.2488 1
I3 I 0.1214 0.5821 0.4963 1
I4 I 0.1260 0.5823 0.9996 1
I5 I 0.2139 0.0866 0.7620 1
I6 I 0.2146 0.7500 0.7300 1
# Magnetization   1.0 μB/f.u.
# Raw total energy   -4.362 eV per atom
# Formation energy from raw total energies   -1.222 eV per atom
# Crystal system   orthorhombic
# Density of states at the Fermi level   45.9 states/eV/cell

=====

[11]
# KSbOsI2 | Alexandria via LeMat-Bulk | PBE | optimized geometry
data_KSbOsI2
_cell_length_a 6.2977
_cell_length_b 6.2977
_cell_length_c 6.5362
_cell_angle_alpha 90.00
_cell_angle_beta 90.00
_cell_angle_gamma 90.00
_space_group_name_H-M_alt 'P 4/m m m'
_space_group_IT_number 123
_space_group_name_Hall '-P 4 2'
loop_
_atom_site_label
_atom_site_type_symbol
_atom_site_fract_x
_atom_site_fract_y
_atom_site_fract_z
_atom_site_occupancy
K1 K 0.0000 0.0000 0.0000 1
Sb1 Sb 0.0000 0.0000 0.5000 1
Os1 Os 0.5000 0.5000 0.5000 1
I1 I 0.0000 0.5000 0.0000 1
# Magnetization   2.0 μB/f.u.
# Raw total energy   -2.252 eV per atom
# Formation energy from raw total energies   1.658 eV per atom
# Crystal system   tetragonal
# Density of states at the Fermi level   6.2 states/eV/cell
# Offset from the most stable computed form   1.575 eV per atom

=====

[12]
# KSbOsI2 | Alexandria via LeMat-Bulk | PBE | optimized geometry
data_KSbOsI2
_cell_length_a 5.8364
_cell_length_b 5.8364
_cell_length_c 5.0034
_cell_angle_alpha 90.00
_cell_angle_beta 90.00
_cell_angle_gamma 90.00
_space_group_name_H-M_alt 'P 4/m m m'
_space_group_IT_number 123
_space_group_name_Hall '-P 4 2'
loop_
_atom_site_label
_atom_site_type_symbol
_atom_site_fract_x
_atom_site_fract_y
_atom_site_fract_z
_atom_site_occupancy
K1 K 0.0000 0.0000 0.0000 1
Sb1 Sb 0.5000 0.5000 0.0000 1
Os1 Os 0.5000 0.5000 0.5000 1
I1 I 0.0000 0.5000 0.5000 1
# Magnetization   0.2 μB/f.u.
# Raw total energy   -3.827 eV per atom
# Formation energy from raw total energies   0.083 eV per atom
# Crystal system   tetragonal
# Density of states at the Fermi level   6.1 states/eV/cell
# Offset from the most stable computed form   0.000 eV per atom